No. 1
The following is a meta-GGA SCAN calculation of Hg3Se at its PBEsol-relaxed geometry, from Alexandria.

As for the space group: No. 166.

Cell: 7.084 7.084 7.084 Å, 33.52 33.52 33.52°
Fractional coordinates of all 4 atoms:
Hg (0.000, 0.000, 0.000)
Hg (0.246, 0.246, 0.246)
Hg (0.754, 0.754, 0.754)
Se (0.500, 0.500, 0.500)

***

No. 2
The following is a meta-GGA SCAN calculation of SiHgSe2 at its PBEsol-relaxed geometry, from Alexandria.

As for the space group: No. 166.

Cell: 8.614 8.614 8.614 Å, 28.40 28.40 28.40°
Fractional coordinates of all 4 atoms:
Si (0.000, 0.000, 0.000)
Hg (0.500, 0.500, 0.500)
Se (0.085, 0.085, 0.085)
Se (0.915, 0.915, 0.915)

***

No. 3
The following is a meta-GGA SCAN calculation of SiHg2Se at its PBEsol-relaxed geometry, from Alexandria.

As for the space group: No. 6. As for the energy above the most stable polymorph in this dataset: 0 meV/atom.

Cell: 2.781 3.539 9.015 Å, 90.00 98.29 90.00°
Fractional coordinates of all 4 atoms:
Si (0.000, 0.000, 0.000)
Hg (0.240, 0.000, 0.490)
Hg (0.885, 0.500, 0.752)
Se (0.090, 0.500, 0.191)

***

No. 4
The following is a meta-GGA SCAN calculation of SiHg2Se at its PBEsol-relaxed geometry, from Alexandria.

As for the space group: No. 71. As for the energy above the most stable polymorph in this dataset: 213 meV/atom.

Cell: 7.107 7.107 7.107 Å, 156.57 141.91 45.20°
Fractional coordinates of all 4 atoms:
Si (0.000, 0.000, 0.000)
Hg (0.193, 0.693, 0.500)
Hg (0.807, 0.307, 0.500)
Se (0.500, 0.500, 0.000)

***

The following total magnetization values (in μB per formula unit) correspond, in order, to the records above: 0.0, 0.0, 0.0, 0.0.
The following E_form (uncorrected) values (in kJ per mole of atoms) correspond, in order, to the records above: -2.1, 31.1, 12.5, 33.0.